# La2PRh (PBE-GGA, optimized geometry)
# calculated total energy = -6.08 eV per atom
# energy relative to the elements = -0.428 eV per atom
# theoretical density = 6.29 g/cm³
data_La2PRh
_chemical_formula_sum 'La4 P2 Rh2'
_cell_length_a 4.445
_cell_length_b 5.966
_cell_length_c 8.192
_cell_angle_alpha 90.00
_cell_angle_beta 90.00
_cell_angle_gamma 90.00
_space_group_name_H-M_alt 'C m m 2'
_space_group_IT_number 35
loop_
_space_group_symop_operation_xyz
'x,y,z'
'-x,-y,z'
'-x,y,z'
'x,-y,z'
'x+1/2,y+1/2,z'
'-x+1/2,-y+1/2,z'
'-x+1/2,y+1/2,z'
'x+1/2,-y+1/2,z'
loop_
_atom_site_label
_atom_site_type_symbol
_atom_site_fract_x
_atom_site_fract_y
_atom_site_fract_z
_atom_site_occupancy
La1 La 0.000 0.000 0.000 1
La2 La 0.000 0.500 0.432 1
P1 P 0.000 0.000 0.651 1
Rh1 Rh 0.000 0.500 0.782 1